Record 1
Here is a crystal of Sc2MoBr relaxed with PBEsol from Alexandria via LeMat-Bulk. Energies are from SCAN.

Results
Crystal system ... trigonal
Formation energy without anion corrections ... 92.6 meV/atom
D(E_F) ... 1.154 states/eV/f.u.

```
data_Sc2MoBr
_symmetry_space_group_name_H-M 'R 3 m'
_symmetry_Int_Tables_number 160
_symmetry_space_group_name_Hall 'R 3 -2"'
_cell_length_a 3.2061
_cell_length_b 3.2061
_cell_length_c 27.8903
_cell_angle_alpha 90.00
_cell_angle_beta 90.00
_cell_angle_gamma 120.00
loop_
_atom_site_label
_atom_site_fract_x
_atom_site_fract_y
_atom_site_fract_z
Sc1 0.0000 0.0000 0.0000
Sc2 0.0000 0.0000 0.2349
Mo1 0.0000 0.0000 0.4939
Br1 0.0000 0.0000 0.7381
```

Record 2
Here is a crystal of LiMgAg2 relaxed with PBEsol from Alexandria via LeMat-Bulk. Energies are from SCAN.

Results
Crystal system ... monoclinic
Formation energy ... -0.58 eV/f.u.
D(E_F) ... 1.009 states/eV/f.u.

```
data_LiMgAg2
_symmetry_space_group_name_H-M 'C 1 2/m 1'
_symmetry_Int_Tables_number 12
_cell_length_a 9.176
_cell_length_b 2.960
_cell_length_c 5.039
_cell_angle_alpha 90.00
_cell_angle_beta 100.97
_cell_angle_gamma 90.00
loop_
_symmetry_equiv_pos_as_xyz
'x,y,z'
'-x,-y,-z'
'-x,y,-z'
'x,-y,z'
'x+1/2,y+1/2,z'
'-x+1/2,-y+1/2,-z'
'-x+1/2,y+1/2,-z'
'x+1/2,-y+1/2,z'
loop_
_atom_site_label
_atom_site_fract_x
_atom_site_fract_y
_atom_site_fract_z
Li1 0.000 0.000 0.000
Mg1 0.000 0.500 0.500
Ag1 0.250 0.000 0.756
```

Record 3
Here is a crystal of SmGeRu relaxed with PBEsol from Alexandria via LeMat-Bulk. Energies are from SCAN.

Results
Crystal system ... tetragonal
Formation energy ... -2.41 eV/f.u.
D(E_F) ... 2.456 states/eV/f.u.

```
data_SmGeRu
_symmetry_space_group_name_H-M 'P 4/n m m'
_symmetry_Int_Tables_number 129
_cell_length_a 4.232
_cell_length_b 4.232
_cell_length_c 6.687
_cell_angle_alpha 90.00
_cell_angle_beta 90.00
_cell_angle_gamma 90.00
loop_
_symmetry_equiv_pos_as_xyz
'x,y,z'
'-x,-y,-z'
'-y+1/2,x,z'
'y+1/2,-x,-z'
'-x+1/2,-y+1/2,z'
'x+1/2,y+1/2,-z'
'y,-x+1/2,z'
'-y,x+1/2,-z'
'x+1/2,-y,-z'
'-x+1/2,y,z'
'-y,-x,-z'
'y,x,z'
'-x,y+1/2,-z'
'x,-y+1/2,z'
'y+1/2,x+1/2,-z'
'-y+1/2,-x+1/2,z'
loop_
_atom_site_label
_atom_site_fract_x
_atom_site_fract_y
_atom_site_fract_z
Sm1 0.250 0.250 0.186
Ge1 0.250 0.250 0.699
Ru1 0.250 0.750 0.500
```

Record 4
Here is a crystal of CaGaSb2Mo relaxed with PBEsol from Alexandria via LeMat-Bulk. Energies are from SCAN.

Results
Crystal system ... tetragonal
Formation energy without anion corrections ... 407.7 meV/atom
D(E_F) ... 4.803 states/eV/f.u.

```
data_CaGaSb2Mo
_symmetry_space_group_name_H-M 'P 4/m m m'
_symmetry_Int_Tables_number 123
_symmetry_space_group_name_Hall '-P 4 2'
_cell_length_a 5.157
_cell_length_b 5.157
_cell_length_c 5.479
_cell_angle_alpha 90.00
_cell_angle_beta 90.00
_cell_angle_gamma 90.00
loop_
_atom_site_label
_atom_site_fract_x
_atom_site_fract_y
_atom_site_fract_z
Ca1 0.000 0.000 0.000
Ga1 0.500 0.500 0.000
Sb1 0.000 0.500 0.500
Mo1 0.000 0.000 0.500
```

Record 5
Here is a crystal of Mg3Sc relaxed with PBEsol from Alexandria via LeMat-Bulk. Energies are from SCAN.

Results
Crystal system ... tetragonal
Formation energy ... -0.02 eV/f.u.
D(E_F) ... 3.112 states/eV/f.u.

```
data_Mg3Sc
_symmetry_space_group_name_H-M 'I 4/m m m'
_symmetry_Int_Tables_number 139
_symmetry_space_group_name_Hall '-I 4 2'
_cell_length_a 4.530
_cell_length_b 4.530
_cell_length_c 17.556
_cell_angle_alpha 90.00
_cell_angle_beta 90.00
_cell_angle_gamma 90.00
loop_
_atom_site_label
_atom_site_fract_x
_atom_site_fract_y
_atom_site_fract_z
Mg1 0.000 0.000 0.129
Mg2 0.000 0.500 0.000
Mg3 0.000 0.500 0.250
Sc1 0.000 0.000 0.376
```

Record 6
Here is a crystal of CoRe2Ag2 relaxed with PBEsol from Alexandria via LeMat-Bulk. Energies are from SCAN.

Results
Crystal system ... tetragonal
Formation energy ... 4.86 eV/f.u.
D(E_F) ... 3.620 states/eV/f.u.

```
data_CoRe2Ag2
_symmetry_space_group_name_H-M 'I 4/m m m'
_symmetry_Int_Tables_number 139
_symmetry_space_group_name_Hall '-I 4 2'
_cell_length_a 3.460
_cell_length_b 3.460
_cell_length_c 14.074
_cell_angle_alpha 90.00
_cell_angle_beta 90.00
_cell_angle_gamma 90.00
loop_
_atom_site_label
_atom_site_fract_x
_atom_site_fract_y
_atom_site_fract_z
Co1 0.000 0.000 0.000
Re1 0.000 0.500 0.250
Ag1 0.000 0.000 0.407
```

Record 7
Here is a crystal of Sr3Hg relaxed with PBEsol from Alexandria via LeMat-Bulk. Energies are from SCAN.

Results
Crystal system ... cubic
Formation energy ... -0.64 eV/f.u.
D(E_F) ... 6.236 states/eV/f.u.

```
data_Sr3Hg
_symmetry_space_group_name_H-M 'P m -3 m'
_symmetry_Int_Tables_number 221
_symmetry_space_group_name_Hall '-P 4 2 3'
_cell_length_a 5.350
_cell_length_b 5.350
_cell_length_c 5.350
_cell_angle_alpha 90.00
_cell_angle_beta 90.00
_cell_angle_gamma 90.00
loop_
_atom_site_label
_atom_site_fract_x
_atom_site_fract_y
_atom_site_fract_z
Sr1 0.000 0.000 0.500
Hg1 0.500 0.500 0.500
```

Record 8
Here is a crystal of LaFeC3 relaxed with PBEsol from Alexandria via LeMat-Bulk. Energies are from SCAN.

Results
Crystal system ... cubic
Formation energy ... 15.65 eV/f.u.
D(E_F) ... 3.651 states/eV/f.u.

```
data_LaFeC3
_symmetry_space_group_name_H-M 'P m -3 m'
_symmetry_Int_Tables_number 221
_symmetry_space_group_name_Hall '-P 4 2 3'
_cell_length_a 4.296
_cell_length_b 4.296
_cell_length_c 4.296
_cell_angle_alpha 90.00
_cell_angle_beta 90.00
_cell_angle_gamma 90.00
loop_
_atom_site_label
_atom_site_fract_x
_atom_site_fract_y
_atom_site_fract_z
La1 0.000 0.000 0.000
Fe1 0.500 0.500 0.500
C1 0.000 0.000 0.500
```

Record 9
Here is a crystal of LiSbCl2 relaxed with PBEsol from Alexandria via LeMat-Bulk. Energies are from SCAN.

Results
Crystal system ... cubic
Formation energy without anion corrections ... -435.0 meV/atom
D(E_F) ... 2.408 states/eV/f.u.

```
data_LiSbCl2
_symmetry_space_group_name_H-M 'F m -3 m'
_symmetry_Int_Tables_number 225
_symmetry_space_group_name_Hall '-F 4 2 3'
_cell_length_a 7.004
_cell_length_b 7.004
_cell_length_c 7.004
_cell_angle_alpha 90.00
_cell_angle_beta 90.00
_cell_angle_gamma 90.00
loop_
_atom_site_label
_atom_site_fract_x
_atom_site_fract_y
_atom_site_fract_z
Li1 0.000 0.000 0.000
Sb1 0.000 0.000 0.500
Cl1 0.250 0.250 0.250
```

Record 10
Here is a crystal of Nb2GaPbI relaxed with PBEsol from Alexandria via LeMat-Bulk. Energies are from SCAN.

Results
Crystal system ... tetragonal
Formation energy without anion corrections ... 1520.0 meV/atom
D(E_F) ... 4.740 states/eV/f.u.

```
data_Nb2GaPbI
_symmetry_space_group_name_H-M 'P 4/m m m'
_symmetry_Int_Tables_number 123
_symmetry_space_group_name_Hall '-P 4 2'
_cell_length_a 5.052
_cell_length_b 5.052
_cell_length_c 5.373
_cell_angle_alpha 90.00
_cell_angle_beta 90.00
_cell_angle_gamma 90.00
loop_
_atom_site_label
_atom_site_fract_x
_atom_site_fract_y
_atom_site_fract_z
Nb1 0.000 0.500 0.000
Ga1 0.000 0.000 0.500
Pb1 0.500 0.500 0.500
I1 0.000 0.000 0.000
```

Record 11
Here is a crystal of Ni2SbRu relaxed with PBEsol from Alexandria via LeMat-Bulk. Energies are from SCAN.

Results
Crystal system ... tetragonal
Formation energy without anion corrections ... 17.7 meV/atom
D(E_F) ... 4.195 states/eV/f.u.

```
data_Ni2SbRu
_symmetry_space_group_name_H-M 'I -4 m 2'
_symmetry_Int_Tables_number 119
_symmetry_space_group_name_Hall 'I -4 -2'
_cell_length_a 3.865
_cell_length_b 3.865
_cell_length_c 7.143
_cell_angle_alpha 90.00
_cell_angle_beta 90.00
_cell_angle_gamma 90.00
loop_
_atom_site_label
_atom_site_fract_x
_atom_site_fract_y
_atom_site_fract_z
Ni1 0.000 0.000 0.000
Ni2 0.000 0.500 0.250
Sb1 0.000 0.000 0.500
Ru1 0.000 0.500 0.750
```

Record 12
Here is a crystal of Sc2CoPt relaxed with PBEsol from Alexandria via LeMat-Bulk. Energies are from SCAN.

Results
Crystal system ... tetragonal
Formation energy ... -2.66 eV/f.u.
D(E_F) ... 2.021 states/eV/f.u.

```
data_Sc2CoPt
_symmetry_space_group_name_H-M 'I -4 m 2'
_symmetry_Int_Tables_number 119
_symmetry_space_group_name_Hall 'I -4 -2'
_cell_length_a 3.756
_cell_length_b 3.756
_cell_length_c 9.066
_cell_angle_alpha 90.00
_cell_angle_beta 90.00
_cell_angle_gamma 90.00
loop_
_atom_site_label
_atom_site_fract_x
_atom_site_fract_y
_atom_site_fract_z
Sc1 0.000 0.000 0.000
Sc2 0.000 0.500 0.250
Co1 0.000 0.000 0.500
Pt1 0.000 0.500 0.750
```

Record 13
Here is a crystal of MnAlRe relaxed with PBEsol from Alexandria via LeMat-Bulk. Energies are from SCAN.

Results
Crystal system ... cubic
Formation energy ... 1.47 eV/f.u.
D(E_F) ... 1.950 states/eV/f.u.

```
data_MnAlRe
_symmetry_space_group_name_H-M 'F -4 3 m'
_symmetry_Int_Tables_number 216
_symmetry_space_group_name_Hall 'F -4 2 3'
_cell_length_a 5.770
_cell_length_b 5.770
_cell_length_c 5.770
_cell_angle_alpha 90.00
_cell_angle_beta 90.00
_cell_angle_gamma 90.00
loop_
_atom_site_label
_atom_site_fract_x
_atom_site_fract_y
_atom_site_fract_z
Mn1 0.000 0.000 0.000
Al1 0.250 0.250 0.250
Re1 0.000 0.000 0.500
```

Record 14
Here is a crystal of ErAlCo relaxed with PBEsol from Alexandria via LeMat-Bulk. Energies are from SCAN.

Results
Crystal system ... orthorhombic
Formation energy ... -1.13 eV/f.u.
D(E_F) ... 2.359 states/eV/f.u.

```
data_ErAlCo
_symmetry_space_group_name_H-M 'A m m 2'
_symmetry_Int_Tables_number 38
_cell_length_a 8.242
_cell_length_b 5.289
_cell_length_c 9.037
_cell_angle_alpha 90.00
_cell_angle_beta 90.00
_cell_angle_gamma 90.00
loop_
_symmetry_equiv_pos_as_xyz
'x,y,z'
'-x,-y,z'
'-x,y,z'
'x,-y,z'
'x,y+1/2,z+1/2'
'-x,-y+1/2,z+1/2'
'-x,y+1/2,z+1/2'
'x,-y+1/2,z+1/2'
loop_
_atom_site_label
_atom_site_fract_x
_atom_site_fract_y
_atom_site_fract_z
Er1 0.173 0.000 0.000
Er2 0.297 0.000 0.337
Al1 0.225 0.000 0.675
Al2 0.500 0.248 0.084
Co1 0.000 0.000 0.497
Co2 0.000 0.231 0.265
Co3 0.500 0.000 0.837
```

| no. | total magnetic moment (Bohr magnetons per cell) | electronic total energy (eV per formula unit) |
| --- | --- | --- |
| 1 | 9.5 | -82.45 |
| 2 | 0.0 | -70.67 |
| 3 | 0.0 | -100.76 |
| 4 | 0.0 | -133.38 |
| 5 | 0.0 | -29.18 |
| 6 | 4.0 | -217.37 |
| 7 | 0.0 | -135.63 |
| 8 | 3.9 | -75.88 |
| 9 | 0.0 | -57.35 |
| 10 | 3.8 | -187.53 |
| 11 | 2.3 | -104.36 |
| 12 | 0.0 | -118.64 |
| 13 | 14.2 | -95.64 |
| 14 | 5.7 | -76.52 |